SrLaH3 | Alexandria via LeMat-Bulk | PBE-GGA | relaxed; SG = Pm-3m, No. 221; energy above the lowest structure with this stoichiometry = 217 meV/atom; calculated volume = 17.773 Å³ per atom
1.0
4.463 0.000 0.000
0.000 4.463 0.000
0.000 0.000 4.463
Sr La H
1 1 3
Direct
0.000 0.000 0.000
0.500 0.500 0.500
0.000 0.000 0.500
0.000 0.500 0.000
0.500 0.000 0.000

***

Sr2LaH | Alexandria via LeMat-Bulk | PBE-GGA | relaxed; SG = Fm-3m, No. 225; energy above the lowest structure with this stoichiometry = 756 meV/atom; calculated volume = 40.018 Å³ per atom
1.0
0.000 4.310 4.310
4.310 0.000 4.310
4.310 4.310 0.000
Sr La H
2 1 1
Direct
0.250 0.250 0.250
0.750 0.750 0.750
0.000 0.000 0.000
0.500 0.500 0.500

***

SrLaH | Alexandria via LeMat-Bulk | PBE-GGA | relaxed; SG = P3m1, No. 156; energy above the lowest structure with this stoichiometry = 34 meV/atom; calculated volume = 28.174 Å³ per atom
1.0
3.872 0.000 0.000
-1.936 3.353 0.000
0.000 0.000 6.510
Sr La H
1 1 1
Direct
0.000 0.000 0.000
0.333 0.667 0.472
0.667 0.333 0.263

***

Sr3LaH | Alexandria via LeMat-Bulk | PBE-GGA | relaxed; SG = Pm-3m, No. 221; energy above the lowest structure with this stoichiometry = 0 meV/atom; calculated volume = 36.790 Å³ per atom
1.0
5.687 0.000 0.000
0.000 5.687 0.000
0.000 0.000 5.687
Sr La H
3 1 1
Direct
0.000 0.000 0.500
0.000 0.500 0.000
0.500 0.000 0.000
0.500 0.500 0.500
0.000 0.000 0.000

***

SrLaH2 | Alexandria via LeMat-Bulk | PBE-GGA | relaxed; SG = Fm-3m, No. 225; energy above the lowest structure with this stoichiometry = 475 meV/atom; calculated volume = 18.629 Å³ per atom
1.0
0.000 3.340 3.340
3.340 0.000 3.340
3.340 3.340 0.000
Sr La H
1 1 2
Direct
0.000 0.000 0.000
0.500 0.500 0.500
0.250 0.250 0.250
0.750 0.750 0.750

***

SrLa3H | Alexandria via LeMat-Bulk | PBE-GGA | relaxed; SG = Pm-3m, No. 221; energy above the lowest structure with this stoichiometry = 1442 meV/atom; calculated volume = 43.962 Å³ per atom
1.0
6.035 0.000 0.000
0.000 6.035 0.000
0.000 0.000 6.035
Sr La H
1 3 1
Direct
0.000 0.000 0.000
0.000 0.000 0.500
0.000 0.500 0.000
0.500 0.000 0.000
0.500 0.500 0.500

***

SrLaH4 | Alexandria via LeMat-Bulk | PBE-GGA | relaxed; energy = -3.92 eV per atom; SG = P4/mmm, No. 123; calculated volume = 15.519 Å³ per atom
1.0
4.009 0.000 0.000
0.000 4.009 0.000
0.000 0.000 5.793
Sr La H
1 1 4
Direct
0.000 0.000 0.000
0.500 0.500 0.500
0.000 0.500 0.260
0.000 0.500 0.740
0.500 0.000 0.260
0.500 0.000 0.740

***

SrLa2H | Alexandria via LeMat-Bulk | PBE-GGA | relaxed; SG = R-3m, No. 166; energy above the lowest structure with this stoichiometry = 48 meV/atom; calculated volume = 31.915 Å³ per atom
1.0
1.893 1.093 10.287
-1.893 1.093 10.287
0.000 -2.186 10.287
Sr La H
1 2 1
Direct
0.000 0.000 0.000
0.119 0.119 0.119
0.881 0.881 0.881
0.500 0.500 0.500

***

SrLa2H | Alexandria via LeMat-Bulk | PBE-GGA | relaxed; SG = Fm-3m, No. 225; energy above the lowest structure with this stoichiometry = 843 meV/atom; calculated volume = 32.973 Å³ per atom
1.0
0.000 4.040 4.040
4.040 0.000 4.040
4.040 4.040 0.000
Sr La H
1 2 1
Direct
0.000 0.000 0.000
0.250 0.250 0.250
0.750 0.750 0.750
0.500 0.500 0.500

***

Sr3LaH8 | Alexandria via LeMat-Bulk | PBE-GGA | relaxed; energy = -3.62 eV per atom; SG = Pm-3m, No. 221; calculated volume = 15.968 Å³ per atom
1.0
5.765 0.000 0.000
0.000 5.765 0.000
0.000 0.000 5.765
Sr La H
3 1 8
Direct
0.000 0.000 0.500
0.000 0.500 0.000
0.500 0.000 0.000
0.500 0.500 0.500
0.256 0.256 0.256
0.256 0.256 0.744
0.256 0.744 0.256
0.256 0.744 0.744
0.744 0.256 0.256
0.744 0.256 0.744
0.744 0.744 0.256
0.744 0.744 0.744

***

Sr3LaH | Alexandria via LeMat-Bulk | PBE-GGA | relaxed; SG = Pm-3m, No. 221; energy above the lowest structure with this stoichiometry = 1204 meV/atom; calculated volume = 53.023 Å³ per atom
1.0
6.424 0.000 0.000
0.000 6.424 0.000
0.000 0.000 6.424
Sr La H
3 1 1
Direct
0.000 0.000 0.500
0.000 0.500 0.000
0.500 0.000 0.000
0.000 0.000 0.000
0.500 0.500 0.500

***

Sr2LaH | Alexandria via LeMat-Bulk | PBE-GGA | relaxed; SG = R-3m, No. 166; energy above the lowest structure with this stoichiometry = 34 meV/atom; calculated volume = 33.428 Å³ per atom
1.0
1.905 1.100 10.631
-1.905 1.100 10.631
0.000 -2.200 10.631
Sr La H
2 1 1
Direct
0.116 0.116 0.116
0.884 0.884 0.884
0.000 0.000 0.000
0.500 0.500 0.500

***

SrLa2TlH | Alexandria via LeMat-Bulk | PBE-GGA | relaxed; SG = P4/mmm, No. 123; energy above the lowest structure with this stoichiometry = 0 meV/atom; calculated volume = 27.967 Å³ per atom
1.0
5.093 0.000 0.000
0.000 5.093 0.000
0.000 0.000 5.390
Sr La Tl H
1 2 1 1
Direct
0.000 0.000 0.000
0.000 0.500 0.500
0.500 0.000 0.500
0.500 0.500 0.000
0.000 0.000 0.500

***

SrLa2TlH | Alexandria via LeMat-Bulk | PBE-GGA | relaxed; SG = P4/mmm, No. 123; energy above the lowest structure with this stoichiometry = 90 meV/atom; calculated volume = 28.030 Å³ per atom
1.0
5.072 0.000 0.000
0.000 5.072 0.000
0.000 0.000 5.449
Sr La Tl H
1 2 1 1
Direct
0.000 0.000 0.000
0.000 0.500 0.500
0.500 0.000 0.500
0.500 0.500 0.000
0.500 0.500 0.500

***

SrLaY2H | Alexandria via LeMat-Bulk | PBE-GGA | relaxed; energy = -4.61 eV per atom; SG = P4/mmm, No. 123; calculated volume = 28.847 Å³ per atom
1.0
5.245 0.000 0.000
0.000 5.245 0.000
0.000 0.000 5.242
Sr La Y H
1 1 2 1
Direct
0.000 0.000 0.000
0.500 0.500 0.000
0.000 0.500 0.500
0.500 0.000 0.500
0.500 0.500 0.500

***

SrLa2ZnH | Alexandria via LeMat-Bulk | PBE-GGA | relaxed; energy = -3.32 eV per atom; SG = P4/mmm, No. 123; calculated volume = 26.927 Å³ per atom
1.0
5.021 0.000 0.000
0.000 5.021 0.000
0.000 0.000 5.340
Sr La Zn H
1 2 1 1
Direct
0.000 0.000 0.000
0.000 0.500 0.500
0.500 0.000 0.500
0.500 0.500 0.000
0.000 0.000 0.500

***

LaTaH3 | Alexandria via LeMat-Bulk | PBE-GGA | relaxed; SG = Pm-3m, No. 221; energy above the lowest structure with this stoichiometry = 0 meV/atom; calculated volume = 11.958 Å³ per atom
1.0
3.910 0.000 0.000
0.000 3.910 0.000
0.000 0.000 3.910
La Ta H
1 1 3
Direct
0.000 0.000 0.000
0.500 0.500 0.500
0.000 0.500 0.500
0.500 0.000 0.500
0.500 0.500 0.000

***

La2TaH | Alexandria via LeMat-Bulk | PBE-GGA | relaxed; SG = I-42d, No. 122; energy above the lowest structure with this stoichiometry = 306 meV/atom; calculated volume = 26.073 Å³ per atom
1.0
-2.798 2.798 6.660
2.798 -2.798 6.660
2.798 2.798 -6.660
La Ta H
4 2 2
Direct
0.063 0.625 0.938
0.375 0.313 0.438
0.687 0.125 0.062
0.875 0.937 0.562
0.250 0.750 0.500
0.500 0.500 0.000
0.000 0.000 0.000
0.750 0.250 0.500

***

La2TaH | Alexandria via LeMat-Bulk | PBE-GGA | relaxed; SG = Fm-3m, No. 225; energy above the lowest structure with this stoichiometry = 310 meV/atom; calculated volume = 23.240 Å³ per atom
1.0
0.000 3.595 3.595
3.595 0.000 3.595
3.595 3.595 0.000
La Ta H
2 1 1
Direct
0.250 0.250 0.250
0.750 0.750 0.750
0.000 0.000 0.000
0.500 0.500 0.500

***

LaTaH2 | Alexandria via LeMat-Bulk | PBE-GGA | relaxed; SG = I-42d, No. 122; energy above the lowest structure with this stoichiometry = 0 meV/atom; calculated volume = 14.041 Å³ per atom
1.0
-2.725 2.725 3.782
2.725 -2.725 3.782
2.725 2.725 -3.782
La Ta H
2 2 4
Direct
0.000 0.000 0.000
0.750 0.250 0.500
0.250 0.750 0.500
0.500 0.500 0.000
0.195 0.625 0.070
0.375 0.445 0.570
0.555 0.125 0.930
0.875 0.805 0.430